(1)
Material: Li2CaHgI6
Method: DFT, PBE
State: optimized geometry

Values from the calculation:
Its formation energy from raw total energies is -10.201 eV per formula unit. As for the volume: 38.42 Å³ per atom.

Lattice parameters (Å, degrees): 7.7541 7.7866 7.8557 60.61 68.41 78.70
Space group P1 (No. 1)
Inequivalent atoms, fractional coordinates:
Li 0.0000 0.0000 0.0000 (multiplicity 1)
Li 0.2754 0.6391 0.5729 (multiplicity 1)
Ca 0.9594 0.3003 0.3698 (multiplicity 1)
Hg 0.6269 0.6404 0.8340 (multiplicity 1)
I 0.1760 0.9709 0.2700 (multiplicity 1)
I 0.1885 0.2941 0.6175 (multiplicity 1)
I 0.1978 0.6467 0.9504 (multiplicity 1)
I 0.6783 0.6438 0.4506 (multiplicity 1)
I 0.7000 0.2777 0.1441 (multiplicity 1)
I 0.7028 0.9906 0.8094 (multiplicity 1)

---

(2)
Material: MnTlGa2
Method: DFT, PBE
State: optimized geometry

Values from the calculation:
For the energy of formation from the pure elements, the calculation gives 0.75 eV per atom. As for the volume: 17.96 Å³ per atom.

Lattice parameters (Å, degrees): 6.5988 6.5988 6.5988 90.00 90.00 90.00
Space group Fm-3m (No. 225)
Inequivalent atoms, fractional coordinates:
Mn 0.0000 0.0000 0.0000 (multiplicity 4)
Tl 0.0000 0.0000 0.5000 (multiplicity 4)
Ga 0.2500 0.2500 0.2500 (multiplicity 8)

---

(3)
Material: ZrSc2ZnSe
Method: DFT, PBE
State: optimized geometry

Values from the calculation:
Its formation energy from raw total energies is 3.574 eV per formula unit. As for the volume: 27.03 Å³ per atom.

Lattice parameters (Å, degrees): 5.1994 5.1994 4.9990 90.00 90.00 90.00
Space group P4/mmm (No. 123)
Inequivalent atoms, fractional coordinates:
Zr 0.0000 0.0000 0.0000 (multiplicity 1)
Sc 0.0000 0.5000 0.0000 (multiplicity 2)
Zn 0.0000 0.0000 0.5000 (multiplicity 1)
Se 0.5000 0.5000 0.5000 (multiplicity 1)

---

(4)
Material: VRuPtRh
Method: DFT, PBE
State: optimized geometry

Values from the calculation:
For the energy of formation from the pure elements, the calculation gives -0.37 eV per atom. As for the volume: 14.11 Å³ per atom.

Lattice parameters (Å, degrees): 3.7868 3.8132 3.9091 90.00 90.00 90.00
Space group Pmmm (No. 47)
Inequivalent atoms, fractional coordinates:
V 0.0000 0.0000 0.0000 (multiplicity 1)
Ru 0.5000 0.5000 0.0000 (multiplicity 1)
Pt 0.0000 0.5000 0.5000 (multiplicity 1)
Rh 0.5000 0.0000 0.5000 (multiplicity 1)

---

(5)
Material: Ac3PuS6
Method: DFT, PBE
State: optimized geometry

Values from the calculation:
Its formation energy from raw total energies is -20.106 eV per formula unit. The calculation puts the offset from the most stable computed form at 0.0 meV per atom. As for the volume: 31.88 Å³ per atom.

Lattice parameters (Å, degrees): 12.3910 12.3910 14.3862 90.00 90.00 120.00
Space group R-3 (No. 148, hexagonal axes)
Inequivalent atoms, fractional coordinates:
Ac 0.0455 0.7763 0.2025 (multiplicity 18)
Pu 0.0000 0.0000 0.0000 (multiplicity 3)
Pu 0.0000 0.0000 0.5000 (multiplicity 3)
S 0.0267 0.8168 0.4030 (multiplicity 18)
S 0.0301 0.8420 0.8807 (multiplicity 18)

---

(6)
Material: InHg3
Method: DFT, PBE
State: optimized geometry

Values from the calculation:
For the energy of formation from the pure elements, the calculation gives 0.00 eV per atom. As for the volume: 26.79 Å³ per atom.

Lattice parameters (Å, degrees): 6.6679 6.6679 16.6965 90.00 90.00 120.00
Space group P6_3/mmc (No. 194)
Inequivalent atoms, fractional coordinates:
In 0.0000 0.0000 0.2500 (multiplicity 2)
In 0.3333 0.6667 0.0803 (multiplicity 4)
Hg 0.0009 0.5004 0.2500 (multiplicity 6)
Hg 0.1663 0.3325 0.5834 (multiplicity 12)

---

(7)
Material: TiTcOsRu
Method: DFT, PBE
State: optimized geometry

Values from the calculation:
For the energy of formation from the pure elements, the calculation gives -0.01 eV per atom. As for the volume: 14.72 Å³ per atom.

Lattice parameters (Å, degrees): 6.1753 6.1753 6.1753 90.00 90.00 90.00
Space group F-43m (No. 216)
Inequivalent atoms, fractional coordinates:
Ti 0.0000 0.0000 0.0000 (multiplicity 4)
Tc 0.2500 0.2500 0.2500 (multiplicity 4)
Os 0.0000 0.0000 0.5000 (multiplicity 4)
Ru 0.2500 0.2500 0.7500 (multiplicity 4)

---

(8)
Material: AcYB4
Method: DFT, PBE
State: optimized geometry

Values from the calculation:
For the energy of formation from the pure elements, the calculation gives -0.24 eV per atom. As for the volume: 15.46 Å³ per atom.

Lattice parameters (Å, degrees): 7.9858 12.2350 3.7986 90.00 90.00 90.00
Space group Pbam (No. 55)
Inequivalent atoms, fractional coordinates:
Ac 0.1651 0.1506 0.0000 (multiplicity 4)
Y 0.1710 0.4076 0.0000 (multiplicity 4)
B 0.0405 0.6919 0.5000 (multiplicity 4)
B 0.0519 0.5580 0.5000 (multiplicity 4)
B 0.0684 0.9486 0.5000 (multiplicity 4)
B 0.1060 0.8182 0.5000 (multiplicity 4)

---

(9)
Material: InOsBr2
Method: DFT, PBE
State: optimized geometry

Values from the calculation:
Its formation energy from raw total energies is 2.172 eV per formula unit. The calculation puts the offset from the most stable computed form at 361.5 meV per atom. As for the volume: 23.12 Å³ per atom.

Lattice parameters (Å, degrees): 3.2598 3.2598 8.7028 90.00 90.00 90.00
Space group P4mm (No. 99)
Inequivalent atoms, fractional coordinates:
In 0.0000 0.0000 0.0000 (multiplicity 1)
Os 0.5000 0.5000 0.1963 (multiplicity 1)
Br 0.0000 0.0000 0.3820 (multiplicity 1)
Br 0.5000 0.5000 0.7718 (multiplicity 1)

---

(10)
Material: ZrSc2As3
Method: DFT, PBE
State: optimized geometry

Values from the calculation:
For the energy of formation from the pure elements, the calculation gives -1.30 eV per atom. As for the volume: 20.52 Å³ per atom.

Lattice parameters (Å, degrees): 7.7301 5.4886 11.6086 90.00 90.00 90.00
Space group Pnma (No. 62)
Inequivalent atoms, fractional coordinates:
Zr 0.1231 0.2500 0.0835 (multiplicity 4)
Sc 0.1244 0.2500 0.7499 (multiplicity 4)
Sc 0.1248 0.2500 0.4167 (multiplicity 4)
As 0.1245 0.7500 0.4158 (multiplicity 4)
As 0.1256 0.7500 0.7503 (multiplicity 4)
As 0.1272 0.7500 0.0842 (multiplicity 4)

---

(11)
Material: As2Pb2S
Method: DFT, PBE
State: optimized geometry

Values from the calculation:
Its formation energy from raw total energies is 0.577 eV per formula unit. The calculation puts the offset from the most stable computed form at 0.0 meV per atom. As for the volume: 30.63 Å³ per atom.

Lattice parameters (Å, degrees): 8.0942 8.0942 4.6753 90.00 90.00 90.00
Space group P4/mbm (No. 127)
Inequivalent atoms, fractional coordinates:
As 0.1007 0.3993 0.0000 (multiplicity 4)
Pb 0.2353 0.7353 0.5000 (multiplicity 4)
S 0.0000 0.0000 0.5000 (multiplicity 2)

---

(12)
Material: Ba3Pd5F12
Method: DFT, PBE
State: optimized geometry

Values from the calculation:
Its formation energy from raw total energies is -39.189 eV per formula unit. As for the volume: 18.63 Å³ per atom.

Lattice parameters (Å, degrees): 14.3927 14.3927 14.3927 90.00 90.00 90.00
Space group Ia-3d (No. 230)
Inequivalent atoms, fractional coordinates:
Ba 0.0000 0.2500 0.1250 (multiplicity 24)
Pd 0.0000 0.0000 0.0000 (multiplicity 16)
Pd 0.0000 0.2500 0.3750 (multiplicity 24)
F 0.0194 0.0612 0.6463 (multiplicity 96)

---

(13)
Material: Sn2BiS
Method: DFT, PBE
State: optimized geometry

Values from the calculation:
Its formation energy from raw total energies is -0.264 eV per formula unit. The calculation puts the offset from the most stable computed form at 0.0 meV per atom. As for the volume: 30.13 Å³ per atom.

Lattice parameters (Å, degrees): 3.8262 3.8262 28.5144 90.00 90.00 120.00
Space group R3m (No. 160, hexagonal axes)
Inequivalent atoms, fractional coordinates:
Sn 0.0000 0.0000 0.0000 (multiplicity 3)
Sn 0.0000 0.0000 0.1825 (multiplicity 3)
Bi 0.0000 0.0000 0.7444 (multiplicity 3)
S 0.0000 0.0000 0.5674 (multiplicity 3)

---

(14)
Material: KNaGa2Pd
Method: DFT, PBE
State: optimized geometry

Values from the calculation:
For the energy of formation from the pure elements, the calculation gives -0.22 eV per atom. As for the volume: 26.70 Å³ per atom.

Lattice parameters (Å, degrees): 4.8904 4.8904 5.5822 90.00 90.00 90.00
Space group P4/mmm (No. 123)
Inequivalent atoms, fractional coordinates:
K 0.0000 0.0000 0.0000 (multiplicity 1)
Na 0.5000 0.5000 0.0000 (multiplicity 1)
Ga 0.0000 0.5000 0.5000 (multiplicity 2)
Pd 0.5000 0.5000 0.5000 (multiplicity 1)

---

(15)
Material: Ba2MgTl6
Method: DFT, PBE
State: optimized geometry

Values from the calculation:
For the energy of formation from the pure elements, the calculation gives -0.27 eV per atom. As for the volume: 33.08 Å³ per atom.

Lattice parameters (Å, degrees): 12.9514 7.4943 7.4961 90.00 125.07 90.00
Space group C2/m (No. 12)
Inequivalent atoms, fractional coordinates:
Ba 0.2500 0.0000 0.2480 (multiplicity 4)
Mg 0.0000 0.5000 0.0000 (multiplicity 2)
Tl 0.0005 0.2161 0.2845 (multiplicity 8)
Tl 0.2161 0.0000 0.7145 (multiplicity 4)

---

(16)
Material: Ac2AgO2F2
Method: DFT, PBE
State: optimized geometry

Values from the calculation:
Its formation energy from raw total energies is -20.759 eV per formula unit. As for the volume: 23.12 Å³ per atom.

Lattice parameters (Å, degrees): 4.1258 4.1258 10.9766 90.00 90.00 120.00
Space group P-3m1 (No. 164)
Inequivalent atoms, fractional coordinates:
Ac 0.3333 0.6667 0.1457 (multiplicity 2)
Ag 0.0000 0.0000 0.5000 (multiplicity 1)
O 0.3333 0.6667 0.9200 (multiplicity 2)
F 0.0000 0.0000 0.2472 (multiplicity 2)

---

(17)
Material: Sm3Ga9Ni2
Method: DFT, PBE
State: optimized geometry

Values from the calculation:
For the energy of formation from the pure elements, the calculation gives -0.57 eV per atom. As for the volume: 18.38 Å³ per atom.

Lattice parameters (Å, degrees): 4.2280 9.9000 12.2920 90.00 90.00 90.00
Space group Immm (No. 71)
Inequivalent atoms, fractional coordinates:
Sm 0.0000 0.0000 0.0000 (multiplicity 2)
Sm 0.0000 0.0000 0.3194 (multiplicity 4)
Ga 0.0000 0.2784 0.1242 (multiplicity 8)
Ga 0.0000 0.3683 0.3380 (multiplicity 8)
Ga 0.0000 0.5000 0.0000 (multiplicity 2)
Ni 0.0000 0.2215 0.5000 (multiplicity 4)

---

(18)
Material: TbScBe2Pd5
Method: DFT, PBE
State: optimized geometry

Values from the calculation:
For the energy of formation from the pure elements, the calculation gives -0.69 eV per atom. As for the volume: 15.79 Å³ per atom.

Lattice parameters (Å, degrees): 4.0303 4.0303 8.7496 90.00 90.00 90.00
Space group P4/mmm (No. 123)
Inequivalent atoms, fractional coordinates:
Tb 0.0000 0.0000 0.0000 (multiplicity 1)
Sc 0.0000 0.0000 0.5000 (multiplicity 1)
Be 0.5000 0.5000 0.3728 (multiplicity 2)
Pd 0.0000 0.5000 0.2515 (multiplicity 4)
Pd 0.5000 0.5000 0.0000 (multiplicity 1)

---

(19)
Material: MnPd3Pt6
Method: DFT, PBE
State: optimized geometry

Values from the calculation:
For the energy of formation from the pure elements, the calculation gives 0.11 eV per atom. As for the volume: 16.24 Å³ per atom.

Lattice parameters (Å, degrees): 9.2026 5.2652 7.0823 90.00 108.87 90.00
Space group C2/m (No. 12)
Inequivalent atoms, fractional coordinates:
Mn 0.0000 0.0000 0.0000 (multiplicity 2)
Pd 0.0000 0.5000 0.5000 (multiplicity 2)
Pd 0.0931 0.5000 0.1888 (multiplicity 4)
Pt 0.1414 0.0000 0.4297 (multiplicity 4)
Pt 0.1627 0.2482 0.8094 (multiplicity 8)